Record 1
# Ga2CuSnHg

Crystalline Ga2CuSnHg at its relaxed geometry (GGA-PBE, Alexandria via LeMat-Bulk).

Results
The calculation puts the total energy at -2.7584 eV per atom. As for the formation energy: 0.133 eV per atom.

Unit cell a=4.743 b=4.743 c=5.228 alpha=90.00 beta=90.00 gamma=90.00
Fractional coordinates of all 5 atoms:
Cu 0.000 0.000 0.000
Hg 0.500 0.500 0.500
Ga 0.000 0.500 0.000
Ga 0.500 0.000 0.000
Sn 0.000 0.000 0.500



Record 2
# SrGaCuHg2

Crystalline SrGaCuHg2 at its relaxed geometry (GGA-PBE, Alexandria via LeMat-Bulk).

Results
The calculation puts the total energy at -2.0443 eV per atom. As for the formation energy: -0.163 eV per atom.

Unit cell a=5.162 b=5.162 c=4.774 alpha=90.00 beta=90.00 gamma=90.00
Fractional coordinates of all 5 atoms:
Sr 0.500 0.500 0.500
Cu 0.000 0.000 0.000
Hg 0.000 0.500 0.000
Hg 0.500 0.000 0.000
Ga 0.000 0.000 0.500



Record 3
# TbGaCuHg

Crystalline TbGaCuHg at its relaxed geometry (GGA-PBE, Alexandria via LeMat-Bulk).

Results
The calculation puts the total energy at -3.2703 eV per atom. As for the formation energy: -0.257 eV per atom.

Unit cell a=4.808 b=4.808 c=4.808 alpha=60.00 beta=60.00 gamma=60.00
Fractional coordinates of all 4 atoms:
Cu 0.500 0.500 0.500
Tb 0.250 0.250 0.250
Hg 0.750 0.750 0.750
Ga 0.000 0.000 0.000



Record 4
# Tb2Ga4Cu3Hg

Crystalline Tb2Ga4Cu3Hg at its relaxed geometry (GGA-PBE, Alexandria via LeMat-Bulk).

Results
The calculation puts the total energy at -3.7919 eV per atom. As for the formation energy: -0.396 eV per atom.

Unit cell a=4.169 b=4.169 c=10.560 alpha=90.00 beta=90.00 gamma=90.00
Fractional coordinates of all 10 atoms:
Tb 0.500 0.000 0.240
Tb 0.000 0.500 0.760
Ga 0.500 0.500 0.000
Ga 0.000 0.000 0.000
Ga 0.500 0.000 0.652
Ga 0.000 0.500 0.348
Cu 0.000 0.000 0.500
Cu 0.500 0.000 0.874
Cu 0.000 0.500 0.126
Hg 0.500 0.500 0.500



Record 5
# Tb2Ga3Cu4Hg

Crystalline Tb2Ga3Cu4Hg at its relaxed geometry (GGA-PBE, Alexandria via LeMat-Bulk).

Results
The calculation puts the total energy at -3.8453 eV per atom. As for the formation energy: -0.343 eV per atom.

Unit cell a=4.167 b=4.167 c=10.429 alpha=90.00 beta=90.00 gamma=90.00
Fractional coordinates of all 10 atoms:
Tb 0.500 0.000 0.236
Tb 0.000 0.500 0.764
Ga 0.000 0.000 0.500
Ga 0.500 0.000 0.877
Ga 0.000 0.500 0.123
Cu 0.500 0.500 0.000
Cu 0.000 0.000 0.000
Cu 0.500 0.000 0.650
Cu 0.000 0.500 0.350
Hg 0.500 0.500 0.500



Record 6
# GaCu2HgTe4

Crystalline GaCu2HgTe4 at its relaxed geometry (GGA-PBE, Alexandria via LeMat-Bulk).

Results
The calculation puts the total energy at -3.2024 eV per atom. The value obtained for the formation energy from raw total energies is -0.191 eV per atom.

Unit cell a=6.186 b=6.186 c=7.533 alpha=114.24 beta=114.24 gamma=90.02
Fractional coordinates of all 8 atoms:
Ga 0.500 0.500 0.000
Cu 0.750 0.250 0.500
Cu 0.250 0.750 0.500
Hg 0.000 0.000 0.000
Te 0.600 0.600 0.725
Te 0.400 0.875 0.275
Te 0.875 0.400 0.275
Te 0.125 0.125 0.725



Record 7
# Th2Ga4Cu3Hg

Crystalline Th2Ga4Cu3Hg at its relaxed geometry (GGA-PBE, Alexandria via LeMat-Bulk).

Results
The calculation puts the total energy at -4.3451 eV per atom. As for the formation energy: -0.391 eV per atom.

Unit cell a=4.269 b=4.269 c=10.440 alpha=90.00 beta=90.00 gamma=90.00
Fractional coordinates of all 10 atoms:
Th 0.500 0.000 0.238
Th 0.000 0.500 0.762
Ga 0.500 0.500 0.000
Ga 0.000 0.000 0.000
Ga 0.500 0.000 0.650
Ga 0.000 0.500 0.350
Cu 0.000 0.000 0.500
Cu 0.500 0.000 0.877
Cu 0.000 0.500 0.123
Hg 0.500 0.500 0.500



Record 8
# ThGaCuHg

Crystalline ThGaCuHg at its relaxed geometry (GGA-PBE, Alexandria via LeMat-Bulk).

Results
The calculation puts the total energy at -3.8853 eV per atom. As for the formation energy: -0.174 eV per atom.

Unit cell a=4.926 b=4.926 c=4.926 alpha=60.00 beta=60.00 gamma=60.00
Fractional coordinates of all 4 atoms:
Ga 0.250 0.250 0.250
Cu 0.750 0.750 0.750
Hg 0.500 0.500 0.500
Th 0.000 0.000 0.000



Record 9
# Tl2GaCuHg

Crystalline Tl2GaCuHg at its relaxed geometry (GGA-PBE, Alexandria via LeMat-Bulk).

Results
The calculation puts the total energy at -2.2882 eV per atom. As for the formation energy: 0.143 eV per atom.

Unit cell a=5.368 b=5.368 c=4.691 alpha=90.00 beta=90.00 gamma=90.00
Fractional coordinates of all 5 atoms:
Tl 0.000 0.500 0.000
Tl 0.500 0.000 0.000
Cu 0.000 0.000 0.000
Hg 0.500 0.500 0.500
Ga 0.000 0.000 0.500



Record 10
# TlGaCuHg2

Crystalline TlGaCuHg2 at its relaxed geometry (GGA-PBE, Alexandria via LeMat-Bulk).

Results
The calculation puts the total energy at -1.8997 eV per atom. As for the formation energy: 0.119 eV per atom.

Unit cell a=5.170 b=5.170 c=4.734 alpha=90.00 beta=90.00 gamma=90.00
Fractional coordinates of all 5 atoms:
Tl 0.500 0.500 0.500
Cu 0.000 0.000 0.000
Hg 0.000 0.500 0.000
Hg 0.500 0.000 0.000
Ga 0.000 0.000 0.500



Record 11
# TmGaCuHg

Crystalline TmGaCuHg at its relaxed geometry (GGA-PBE, Alexandria via LeMat-Bulk).

Results
The calculation puts the total energy at -3.2078 eV per atom. As for the formation energy: -0.234 eV per atom.

Unit cell a=4.796 b=4.796 c=4.796 alpha=60.00 beta=60.00 gamma=60.00
Fractional coordinates of all 4 atoms:
Tm 0.750 0.750 0.750
Hg 0.500 0.500 0.500
Ga 0.250 0.250 0.250
Cu 0.000 0.000 0.000



Record 12
# YGaCuHg

Crystalline YGaCuHg at its relaxed geometry (GGA-PBE, Alexandria via LeMat-Bulk).

Results
The calculation puts the total energy at -3.7231 eV per atom. As for the formation energy: -0.251 eV per atom.

Unit cell a=4.846 b=4.846 c=4.846 alpha=60.00 beta=60.00 gamma=60.00
Fractional coordinates of all 4 atoms:
Y 0.250 0.250 0.250
Cu 0.000 0.000 0.000
Hg 0.500 0.500 0.500
Ga 0.750 0.750 0.750



Record 13
# Y2Ga3Cu4Hg

Crystalline Y2Ga3Cu4Hg at its relaxed geometry (GGA-PBE, Alexandria via LeMat-Bulk).

Results
The calculation puts the total energy at -4.2172 eV per atom. As for the formation energy: -0.348 eV per atom.

Unit cell a=4.157 b=4.157 c=10.449 alpha=90.00 beta=90.00 gamma=90.00
Fractional coordinates of all 10 atoms:
Y 0.500 0.000 0.236
Y 0.000 0.500 0.764
Ga 0.000 0.000 0.500
Ga 0.500 0.000 0.877
Ga 0.000 0.500 0.123
Cu 0.500 0.500 0.000
Cu 0.000 0.000 0.000
Cu 0.500 0.000 0.650
Cu 0.000 0.500 0.350
Hg 0.500 0.500 0.500



Record 14
# Ho5GaCu4

Crystalline Ho5GaCu4 at its relaxed geometry (GGA-PBE, Alexandria via LeMat-Bulk).

Results
The calculation puts the total energy at -4.5556 eV per atom. As for the formation energy: -0.326 eV per atom.

Unit cell a=3.453 b=3.453 c=17.560 alpha=90.00 beta=90.00 gamma=90.00
Fractional coordinates of all 10 atoms:
Ho 0.500 0.500 0.105
Ho 0.500 0.500 0.303
Ho 0.500 0.500 0.500
Ho 0.500 0.500 0.697
Ho 0.500 0.500 0.895
Ga 0.000 0.000 0.000
Cu 0.000 0.000 0.204
Cu 0.000 0.000 0.402
Cu 0.000 0.000 0.598
Cu 0.000 0.000 0.796



Record 15
# Ho3Ga12Cu

Crystalline Ho3Ga12Cu at its relaxed geometry (GGA-PBE, Alexandria via LeMat-Bulk).

Results
The calculation puts the total energy at -3.7648 eV per atom. As for the formation energy: -0.380 eV per atom.

Unit cell a=4.250 b=4.250 c=16.495 alpha=90.00 beta=90.00 gamma=90.00
Fractional coordinates of all 16 atoms:
Ho 0.000 0.000 0.238
Ho 0.000 0.000 0.500
Ho 0.000 0.000 0.762
Ga 0.500 0.500 0.000
Ga 0.500 0.500 0.247
Ga 0.500 0.500 0.500
Ga 0.500 0.500 0.753
Ga 0.500 0.000 0.106
Ga 0.500 0.000 0.369
Ga 0.500 0.000 0.631
Ga 0.500 0.000 0.894
Ga 0.000 0.500 0.106
Ga 0.000 0.500 0.369
Ga 0.000 0.500 0.631
Ga 0.000 0.500 0.894
Cu 0.000 0.000 0.000



Record 16
# Ho2Ga3Cu2

Crystalline Ho2Ga3Cu2 at its relaxed geometry (GGA-PBE, Alexandria via LeMat-Bulk).

Results
The calculation puts the total energy at -4.2426 eV per atom. The offset from the most stable computed form is 20 meV per atom. As for the formation energy: -0.467 eV per atom.

Unit cell a=4.197 b=5.529 c=6.562 alpha=112.62 beta=90.00 gamma=112.31
Fractional coordinates of all 7 atoms:
Ho 0.850 0.701 0.222
Ho 0.150 0.299 0.778
Ga 0.500 0.000 0.000
Ga 0.607 0.214 0.436
Ga 0.393 0.786 0.564
Cu 0.856 0.711 0.760
Cu 0.144 0.289 0.240



Record 17
# HoGa5Cu7

Crystalline HoGa5Cu7 at its relaxed geometry (GGA-PBE, Alexandria via LeMat-Bulk).

Results
The calculation puts the total energy at -3.8822 eV per atom. As for the formation energy: -0.160 eV per atom.

Unit cell a=5.175 b=6.599 c=6.599 alpha=82.50 beta=66.92 gamma=66.92
Fractional coordinates of all 13 atoms:
Ho 0.999 0.001 0.001
Ga 0.499 0.009 0.488
Ga 0.003 0.009 0.488
Ga 0.499 0.488 0.009
Ga 0.003 0.488 0.009
Ga 0.716 0.784 0.784
Cu 0.645 0.355 0.355
Cu 0.347 0.653 0.653
Cu 0.998 0.356 0.649
Cu 0.998 0.649 0.356
Cu 0.287 0.213 0.213
Cu 0.502 0.779 0.216
Cu 0.502 0.216 0.779



Record 18
# HoGa4Cu6

Crystalline HoGa4Cu6 at its relaxed geometry (GGA-PBE, Alexandria via LeMat-Bulk).

Results
The calculation puts the total energy at -3.9836 eV per atom. As for the formation energy: -0.232 eV per atom.

Unit cell a=4.025 b=6.899 c=6.899 alpha=120.00 beta=90.00 gamma=90.00
Fractional coordinates of all 11 atoms:
Ho 0.000 0.000 0.000
Ga 0.500 0.805 0.611
Ga 0.500 0.389 0.195
Ga 0.500 0.805 0.195
Ga 0.000 0.333 0.667
Cu 0.000 0.540 0.080
Cu 0.500 0.582 0.791
Cu 0.000 0.540 0.460
Cu 0.000 0.920 0.460
Cu 0.500 0.209 0.791
Cu 0.500 0.209 0.418



Record 19
# Ho2Ga2Cu3

Crystalline Ho2Ga2Cu3 at its relaxed geometry (GGA-PBE, Alexandria via LeMat-Bulk).

Results
The calculation puts the total energy at -4.3488 eV per atom. As for the formation energy: -0.421 eV per atom.

Unit cell a=4.134 b=5.519 c=6.448 alpha=111.40 beta=90.00 gamma=111.99
Fractional coordinates of all 7 atoms:
Ho 0.857 0.714 0.239
Ho 0.143 0.286 0.761
Ga 0.853 0.706 0.763
Ga 0.147 0.294 0.237
Cu 0.500 0.000 0.000
Cu 0.599 0.197 0.423
Cu 0.401 0.803 0.577



Record 20
# Ho3Ga2Cu9

Crystalline Ho3Ga2Cu9 at its relaxed geometry (GGA-PBE, Alexandria via LeMat-Bulk).

Results
The calculation puts the total energy at -4.3250 eV per atom. As for the formation energy: -0.278 eV per atom.

Unit cell a=4.214 b=7.850 c=7.850 alpha=66.70 beta=74.43 gamma=74.43
Fractional coordinates of all 14 atoms:
Ho 0.000 0.000 0.000
Ho 0.707 0.293 0.293
Ho 0.293 0.707 0.707
Ga 0.500 0.310 0.690
Ga 0.500 0.690 0.310
Cu 0.000 0.500 0.500
Cu 0.665 0.979 0.692
Cu 0.335 0.021 0.308
Cu 0.665 0.692 0.979
Cu 0.335 0.308 0.021
Cu 0.867 0.847 0.418
Cu 0.133 0.153 0.582
Cu 0.867 0.418 0.847
Cu 0.133 0.582 0.153